{"formula": "Zr2CdP", "functional": "PBE-GGA", "state": "relaxed", "e_above_lowest_polymorph_ev_per_atom": 0.177, "ef_ev_per_atom": -0.5558, "magmom_total_mub_per_cell": 0.000, "dos_ef_per_ev_atom": 0.544, "lattice_angstrom": [[3.149, 0.000, 0.000], [0.000, 3.509, 0.000], [-1.035, 0.000, 7.256]], "species": ["Zr", "Zr", "Cd", "P"], "fractional_positions": [[0.099, 0.000, 0.285], [0.901, 0.000, 0.715], [0.500, 0.500, 0.000], [0.500, 0.500, 0.500]]}